1.
DFT (GGA-PBE) results for crystalline Co2H2Br at its relaxed geometry.

The structure in CIF format:
```
data_Co2H2Br
_cell_length_a 3.183
_cell_length_b 3.183
_cell_length_c 10.611
_cell_angle_alpha 90.00
_cell_angle_beta 90.00
_cell_angle_gamma 90.00
_space_group_name_H-M_alt 'I 4/m m m'
_space_group_IT_number 139
_space_group_name_Hall '-I 4 2'
loop_
_atom_site_label
_atom_site_fract_x
_atom_site_fract_y
_atom_site_fract_z
Co1 0.000 0.000 0.184
H1 0.000 0.500 0.250
Br1 0.000 0.000 0.500
```

2.
# UMnNiRu GGA-PBE relaxed
data_UMnNiRu
_cell_length_a 6.326
_cell_length_b 6.326
_cell_length_c 6.326
_cell_angle_alpha 90.00
_cell_angle_beta 90.00
_cell_angle_gamma 90.00
_space_group_name_H-M_alt 'F -4 3 m'
_space_group_IT_number 216
_space_group_name_Hall 'F -4 2 3'
loop_
_atom_site_label
_atom_site_fract_x
_atom_site_fract_y
_atom_site_fract_z
U1 0.000 0.000 0.000
Mn1 0.000 0.000 0.500
Ni1 0.250 0.250 0.750
Ru1 0.250 0.250 0.250
# Energy of formation from the pure elements = 0.62 kJ/mol of atoms

3.
# Pr3Ho2Tm6Sc GGA-PBE relaxed
data_Pr3Ho2Tm6Sc
_cell_length_a 6.134
_cell_length_b 10.620
_cell_length_c 11.656
_cell_angle_alpha 90.00
_cell_angle_beta 100.09
_cell_angle_gamma 90.00
_space_group_name_H-M_alt 'C 1 2/m 1'
_space_group_IT_number 12
_space_group_name_Hall '-C 2y'
loop_
_atom_site_label
_atom_site_fract_x
_atom_site_fract_y
_atom_site_fract_z
Pr1 0.000 0.000 0.000
Pr2 0.000 0.333 0.000
Ho1 0.000 0.167 0.500
Tm1 0.246 0.334 0.743
Tm2 0.250 0.000 0.743
Sc1 0.000 0.500 0.500
# Energy of formation from the pure elements = 3.50 kJ/mol of atoms

4.
# GdYSe GGA-PBE relaxed
data_GdYSe
_cell_length_a 3.612
_cell_length_b 3.612
_cell_length_c 12.414
_cell_angle_alpha 90.00
_cell_angle_beta 90.00
_cell_angle_gamma 90.00
_space_group_name_H-M_alt 'I 4 m m'
_space_group_IT_number 107
_space_group_name_Hall 'I 4 -2'
loop_
_atom_site_label
_atom_site_fract_x
_atom_site_fract_y
_atom_site_fract_z
Gd1 0.000 0.000 0.000
Y1 0.000 0.000 0.714
Se1 0.000 0.000 0.354
# Energy relative to the lowest polymorph listed for this composition = 0.1724 eV/atom
# ΔE_f (raw) = -0.9810 eV/atom

5.
# K2HgBi2 GGA-PBE relaxed
data_K2HgBi2
_cell_length_a 6.952
_cell_length_b 6.952
_cell_length_c 9.753
_cell_angle_alpha 90.00
_cell_angle_beta 90.00
_cell_angle_gamma 90.00
_space_group_name_H-M_alt 'I 4/m m m'
_space_group_IT_number 139
_space_group_name_Hall '-I 4 2'
loop_
_atom_site_label
_atom_site_fract_x
_atom_site_fract_y
_atom_site_fract_z
K1 0.000 0.500 0.250
Hg1 0.000 0.000 0.000
Bi1 0.000 0.000 0.352
# Energy relative to the lowest polymorph listed for this composition = 0.1967 eV/atom
# Energy of formation from the pure elements = -9.86 kJ/mol of atoms

6.
# LiTlRe2 GGA-PBE relaxed
data_LiTlRe2
_cell_length_a 5.201
_cell_length_b 9.398
_cell_length_c 2.742
_cell_angle_alpha 90.00
_cell_angle_beta 90.00
_cell_angle_gamma 90.00
_space_group_name_H-M_alt 'C m m m'
_space_group_IT_number 65
_space_group_name_Hall '-C 2 2'
loop_
_atom_site_label
_atom_site_fract_x
_atom_site_fract_y
_atom_site_fract_z
Li1 0.000 0.000 0.000
Tl1 0.000 0.500 0.000
Re1 0.250 0.250 0.500
# Energy relative to the lowest polymorph listed for this composition = 0.5833 eV/atom
# Energy of formation from the pure elements = 82.38 kJ/mol of atoms

7.
# CoCu2Ru GGA-PBE relaxed
data_CoCu2Ru
_cell_length_a 5.847
_cell_length_b 5.847
_cell_length_c 5.847
_cell_angle_alpha 90.00
_cell_angle_beta 90.00
_cell_angle_gamma 90.00
_space_group_name_H-M_alt 'F m -3 m'
_space_group_IT_number 225
_space_group_name_Hall '-F 4 2 3'
loop_
_atom_site_label
_atom_site_fract_x
_atom_site_fract_y
_atom_site_fract_z
Co1 0.000 0.000 0.000
Cu1 0.250 0.250 0.250
Ru1 0.000 0.000 0.500
# Energy relative to the lowest polymorph listed for this composition = 0.2195 eV/atom
# Energy of formation from the pure elements = 36.20 kJ/mol of atoms

8.
# TlGa2I3 GGA-PBE relaxed
data_TlGa2I3
_cell_length_a 9.322
_cell_length_b 4.418
_cell_length_c 12.324
_cell_angle_alpha 90.00
_cell_angle_beta 100.86
_cell_angle_gamma 90.00
_space_group_name_H-M_alt 'P 1 21/m 1'
_space_group_IT_number 11
_space_group_name_Hall '-P 2yb'
loop_
_atom_site_label
_atom_site_fract_x
_atom_site_fract_y
_atom_site_fract_z
Tl1 0.215 0.250 0.164
Ga1 0.386 0.750 0.497
Ga2 0.404 0.250 0.954
I1 0.169 0.250 0.428
I2 0.178 0.750 0.906
I3 0.499 0.250 0.742
# Energy relative to the lowest polymorph listed for this composition = 0.0396 eV/atom
# ΔE_f (raw) = -0.3977 eV/atom

Number 1: magnetic moment 3.2 μB/f.u., mass density 6.17 g cm⁻³, calculated total energy -4.200 eV per atom. Number 2: magnetic moment 1.9 μB/f.u., mass density 11.88 g cm⁻³, calculated total energy -8.872 eV per atom. Number 3: magnetic moment 0.0 μB/f.u., mass density 8.05 g cm⁻³, calculated total energy -4.685 eV per atom. Number 4: magnetic moment 7.5 μB/f.u., mass density 6.67 g cm⁻³, calculated total energy -8.991 eV per atom. Number 5: magnetic moment 0.0 μB/f.u., mass density 4.91 g cm⁻³, calculated total energy -2.154 eV per atom. Number 6: magnetic moment 0.0 μB/f.u., mass density 14.46 g cm⁻³, calculated total energy -6.440 eV per atom. Number 7: magnetic moment 3.0 μB/f.u., mass density 9.54 g cm⁻³, calculated total energy -5.768 eV per atom. Number 8: magnetic moment 0.0 μB/f.u., mass density 4.83 g cm⁻³, calculated total energy -2.576 eV per atom.